# LiAsAu2 PBEsol relaxed
# Space-group type ... P4/mmm (123)
# Raw total energy ... -3.897 eV per atom
# Energy of formation ... -0.668 eV per formula unit
data_LiAsAu2
_chemical_formula_sum 'Li1 As1 Au2'
_symmetry_space_group_name_H-M 'P 1'
_symmetry_Int_Tables_number 1
_symmetry_space_group_name_Hall 'P 1'
_cell_length_a 2.751
_cell_length_b 2.751
_cell_length_c 8.680
_cell_angle_alpha 90.00
_cell_angle_beta 90.00
_cell_angle_gamma 90.00
loop_
_atom_site_label
_atom_site_type_symbol
_atom_site_fract_x
_atom_site_fract_y
_atom_site_fract_z
Li1 Li 0.500 0.500 0.000
Au1 Au 0.000 0.000 0.222
Au2 Au 0.000 0.000 0.778
As1 As 0.500 0.500 0.500